Record 1
The following is a PBE calculation of a geometry-optimized GeP3Se structure, from Alexandria.

Results
Energy above the most stable polymorph in this dataset ... 0 meV per atom
Energy relative to the elements, uncorrected ... 1.10 eV/atom
Spin magnetization ... 0.00 Bohr magnetons per cell

The structure in extended XYZ format:
```
5
Lattice="-0.616 -1.364 4.451 4.651 -0.374 0.529 0.201 4.478 1.400" Properties=species:S:1:pos:R:3 pbc="T T T"
P 2.325 -0.187 0.265
P 0.100 2.239 0.700
P -0.308 -0.682 2.225
Ge 0.000 0.000 0.000
Se 2.117 1.370 3.190
```



Record 2
The following is a PBE calculation of a geometry-optimized YNi4Mo structure, from Alexandria.

Results
DFT formation energy ... -0.26 eV/f.u.
Spin magnetization ... 3.18 Bohr magnetons per cell

The structure in extended XYZ format:
```
6
Lattice="-2.362 -4.259 0.729 0.009 -2.088 4.460 -4.130 -0.098 2.682" Properties=species:S:1:pos:R:3 pbc="T T T"
Y -1.621 -1.611 1.968
Ni -1.976 -3.986 3.576
Ni -4.063 -2.982 2.679
Ni -4.058 -4.035 4.928
Ni -2.867 -1.888 4.560
Mo 0.000 0.000 0.000
```



Record 3
The following is a PBE calculation of a geometry-optimized MgMoPt structure, from Alexandria.

Results
Energy above the most stable polymorph in this dataset ... 25 meV per atom
DFT formation energy ... -0.95 eV/f.u.
Spin magnetization ... 0.00 Bohr magnetons per cell

The structure in extended XYZ format:
```
6
Lattice="-2.666 -0.184 1.670 -2.078 -1.560 -3.489 0.935 -7.198 0.705" Properties=species:S:1:pos:R:3 pbc="T T T"
Mg -2.337 -8.227 -1.324
Mg -1.012 -2.822 -1.587
Mo -1.805 -5.267 -0.146
Mo -1.546 -5.784 -2.762
Pt 0.005 -7.221 -0.446
Pt -1.277 -2.271 1.025
```



Q: What is the spin magnetization in the second record?
A: 3.18 Bohr magnetons per cell